Record 1
Material: MgTa4Ru5
Method: DFT, PBE
State: relaxed

CIF file:
```
data_MgTa4Ru5
_cell_length_a 3.1859
_cell_length_b 3.1859
_cell_length_c 15.7261
_cell_angle_alpha 90.00
_cell_angle_beta 90.00
_cell_angle_gamma 90.00
_symmetry_space_group_name_H-M 'P 4/m m m'
_symmetry_Int_Tables_number 123
_symmetry_space_group_name_Hall '-P 4 2'
loop_
_atom_site_label
_atom_site_type_symbol
_atom_site_fract_x
_atom_site_fract_y
_atom_site_fract_z
_atom_site_occupancy
Mg1 Mg 0.0000 0.0000 0.0000 1
Ta1 Ta 0.0000 0.0000 0.1956 1
Ta2 Ta 0.0000 0.0000 0.3995 1
Ru1 Ru 0.5000 0.5000 0.1071 1
Ru2 Ru 0.5000 0.5000 0.3017 1
Ru3 Ru 0.5000 0.5000 0.5000 1
```


Record 2
Material: SrLa2Hg
Method: DFT, PBE
State: relaxed

CIF file:
```
data_SrLa2Hg
_cell_length_a 3.9057
_cell_length_b 5.8190
_cell_length_c 6.3592
_cell_angle_alpha 90.00
_cell_angle_beta 102.12
_cell_angle_gamma 90.00
_symmetry_space_group_name_H-M 'P 1 2/m 1'
_symmetry_Int_Tables_number 10
loop_
_symmetry_equiv_pos_as_xyz
'x,y,z'
'-x,-y,-z'
'-x,y,-z'
'x,-y,z'
loop_
_atom_site_label
_atom_site_type_symbol
_atom_site_fract_x
_atom_site_fract_y
_atom_site_fract_z
_atom_site_occupancy
Sr1 Sr 0.0000 0.0000 0.0000 1
La1 La 0.3118 0.5000 0.7091 1
Hg1 Hg 0.5000 0.0000 0.5000 1
```


Record 3
# TcPb3 PBE relaxed
# Polymorph energy (0 for the lowest one) = 33.6 kJ per mole of atoms
data_TcPb3
_cell_length_a 3.7718
_cell_length_b 4.8932
_cell_length_c 5.8896
_cell_angle_alpha 90.00
_cell_angle_beta 108.10
_cell_angle_gamma 90.00
_symmetry_space_group_name_H-M 'P 1 2/m 1'
_symmetry_Int_Tables_number 10
loop_
_symmetry_equiv_pos_as_xyz
'x,y,z'
'-x,-y,-z'
'-x,y,-z'
'x,-y,z'
loop_
_atom_site_label
_atom_site_type_symbol
_atom_site_fract_x
_atom_site_fract_y
_atom_site_fract_z
_atom_site_occupancy
Tc1 Tc 0.0000 0.0000 0.0000 1
Pb1 Pb 0.0000 0.0000 0.5000 1
Pb2 Pb 0.3617 0.5000 0.2216 1


Record 4
# Dy2ErTh PBE relaxed
# Polymorph energy (0 for the lowest one) = 13.4 kJ per mole of atoms
data_Dy2ErTh
_cell_length_a 7.9906
_cell_length_b 7.9906
_cell_length_c 7.9906
_cell_angle_alpha 90.00
_cell_angle_beta 90.00
_cell_angle_gamma 90.00
_symmetry_space_group_name_H-M 'F m -3 m'
_symmetry_Int_Tables_number 225
_symmetry_space_group_name_Hall '-F 4 2 3'
loop_
_atom_site_label
_atom_site_type_symbol
_atom_site_fract_x
_atom_site_fract_y
_atom_site_fract_z
_atom_site_occupancy
Dy1 Dy 0.2500 0.2500 0.2500 1
Er1 Er 0.0000 0.0000 0.0000 1
Th1 Th 0.0000 0.0000 0.5000 1


Record 5
# SbTe3Cl PBE relaxed
# Polymorph energy (0 for the lowest one) = 88.4 kJ per mole of atoms
# ΔE_f (raw) = 3.6 eV per formula unit
data_SbTe3Cl
_cell_length_a 5.3900
_cell_length_b 5.3900
_cell_length_c 5.3900
_cell_angle_alpha 90.00
_cell_angle_beta 90.00
_cell_angle_gamma 90.00
_symmetry_space_group_name_H-M 'P m -3 m'
_symmetry_Int_Tables_number 221
_symmetry_space_group_name_Hall '-P 4 2 3'
loop_
_atom_site_label
_atom_site_type_symbol
_atom_site_fract_x
_atom_site_fract_y
_atom_site_fract_z
_atom_site_occupancy
Sb1 Sb 0.0000 0.0000 0.0000 1
Te1 Te 0.0000 0.5000 0.5000 1
Cl1 Cl 0.5000 0.5000 0.5000 1


Record 6
# LaCr2Rh PBE relaxed
# Polymorph energy (0 for the lowest one) = 16.1 kJ per mole of atoms
data_LaCr2Rh
_cell_length_a 9.6474
_cell_length_b 3.0018
_cell_length_c 5.3098
_cell_angle_alpha 90.00
_cell_angle_beta 102.99
_cell_angle_gamma 90.00
_symmetry_space_group_name_H-M 'C 1 2/m 1'
_symmetry_Int_Tables_number 12
loop_
_symmetry_equiv_pos_as_xyz
'x,y,z'
'-x,-y,-z'
'-x,y,-z'
'x,-y,z'
'x+1/2,y+1/2,z'
'-x+1/2,-y+1/2,-z'
'-x+1/2,y+1/2,-z'
'x+1/2,-y+1/2,z'
loop_
_atom_site_label
_atom_site_type_symbol
_atom_site_fract_x
_atom_site_fract_y
_atom_site_fract_z
_atom_site_occupancy
La1 La 0.0000 0.0000 0.0000 1
Cr1 Cr 0.2242 0.0000 0.6259 1
Rh1 Rh 0.0000 0.5000 0.5000 1


Record 7
# SrAcSb2Pd5 PBE relaxed
# ΔE_f (raw) = -6.7 eV per formula unit
data_SrAcSb2Pd5
_cell_length_a 4.7845
_cell_length_b 4.7845
_cell_length_c 8.9459
_cell_angle_alpha 90.00
_cell_angle_beta 90.00
_cell_angle_gamma 90.00
_symmetry_space_group_name_H-M 'P 4/m m m'
_symmetry_Int_Tables_number 123
_symmetry_space_group_name_Hall '-P 4 2'
loop_
_atom_site_label
_atom_site_type_symbol
_atom_site_fract_x
_atom_site_fract_y
_atom_site_fract_z
_atom_site_occupancy
Sr1 Sr 0.0000 0.0000 0.0000 1
Ac1 Ac 0.0000 0.0000 0.5000 1
Sb1 Sb 0.5000 0.5000 0.1671 1
Pd1 Pd 0.0000 0.5000 0.2871 1
Pd2 Pd 0.5000 0.5000 0.5000 1


Record 8
# CsSr3Pd PBE relaxed
# Polymorph energy (0 for the lowest one) = 8.5 kJ per mole of atoms
data_CsSr3Pd
_cell_length_a 23.2464
_cell_length_b 4.2865
_cell_length_c 10.6809
_cell_angle_alpha 90.00
_cell_angle_beta 103.63
_cell_angle_gamma 90.00
_symmetry_space_group_name_H-M 'C 1 2/m 1'
_symmetry_Int_Tables_number 12
loop_
_symmetry_equiv_pos_as_xyz
'x,y,z'
'-x,-y,-z'
'-x,y,-z'
'x,-y,z'
'x+1/2,y+1/2,z'
'-x+1/2,-y+1/2,-z'
'-x+1/2,y+1/2,-z'
'x+1/2,-y+1/2,z'
loop_
_atom_site_label
_atom_site_type_symbol
_atom_site_fract_x
_atom_site_fract_y
_atom_site_fract_z
_atom_site_occupancy
Cs1 Cs 0.0409 0.0000 0.2107 1
Sr1 Sr 0.1147 0.0000 0.6023 1
Sr2 Sr 0.1705 0.5000 0.9700 1
Sr3 Sr 0.2290 0.0000 0.3376 1
Pd1 Pd 0.1552 0.5000 0.4406 1


Computed energy, in the same sequence as the records: -99.2, -12.3, -18.9, -82.1, -11.8, -60.9, -46.7, -47.4 eV/cell.